Nd2TmTlO (PBE, optimized geometry); M_tot = 0.00 μB per atom; density = 9.5 g cm⁻³; ΔE_f (raw) = -1.334 eV per atom; E_tot = -28.00 eV for the cell shown; space group = P4/mmm, No. 123
1.0
4.6474 0.0000 0.0000
0.0000 5.0471 0.0000
0.0000 0.0000 5.0471
Nd Tm Tl O
2 1 1 1
direct
0.0000 0.0000 0.5000
0.0000 0.5000 0.0000
0.5000 0.0000 0.0000
0.5000 0.5000 0.5000
0.0000 0.0000 0.0000

NdTmTl2O6 (PBE, optimized geometry); M_tot = 0.00 μB per atom; density = 8.8 g cm⁻³; ΔE_f (raw) = -2.046 eV per atom; E_tot = -64.18 eV for the cell shown; space group = R3, No. 146
1.0
5.8696 0.0002 0.0001
2.9350 5.0832 -0.0001
2.9347 1.6945 5.1537
Nd Tm Tl O
1 1 2 6
direct
0.8051 0.8052 0.5846
0.3123 0.3123 0.0632
0.5297 0.5296 0.4111
0.0252 0.0252 0.9243
0.6106 0.2147 0.2501
0.2147 0.9246 0.2501
0.9246 0.6106 0.2502
0.4029 0.7035 0.7605
0.7035 0.1331 0.7606
0.1331 0.4029 0.7606

NdU3Tl2O12 (PBE, optimized geometry); M_tot = 0.00 μB per atom; density = 7.8 g cm⁻³; ΔE_f (raw) = -2.615 eV per atom; E_tot = -149.94 eV for the cell shown; space group = R-3m, No. 166
1.0
-0.0157 6.6321 -2.5208
-6.7007 1.9993 -1.2014
-2.0500 4.4255 5.1529
Nd U Tl O
1 3 2 12
direct
0.0000 0.0000 0.0000
0.5000 0.0000 0.0000
0.0000 0.5000 0.0000
0.0000 0.0000 0.5000
0.6137 0.6137 0.6137
0.3863 0.3863 0.3863
0.2428 0.2428 0.9063
0.8511 0.8511 0.4413
0.4413 0.8511 0.8511
0.9063 0.2428 0.2428
0.8511 0.4413 0.8511
0.2428 0.9063 0.2428
0.7572 0.7572 0.0937
0.1489 0.1489 0.5587
0.5587 0.1489 0.1489
0.0937 0.7572 0.7572
0.1489 0.5587 0.1489
0.7572 0.0937 0.7572